*A*
A relaxed structure of Li2Ac3Pt3, computed with PBE-GGA.

Computed properties:
DOS at the Fermi energy	5.021	states/eV/f.u.

Structure (CIF):
```
data_Li2Ac3Pt3
_cell_length_a 9.0883
_cell_length_b 9.0883
_cell_length_c 6.0766
_cell_angle_alpha 90.00
_cell_angle_beta 90.00
_cell_angle_gamma 120.00
_symmetry_space_group_name_H-M 'P 1'
_symmetry_Int_Tables_number 1
loop_
_symmetry_equiv_pos_as_xyz
'x,y,z'
loop_
_atom_site_label
_atom_site_fract_x
_atom_site_fract_y
_atom_site_fract_z
_atom_site_occupancy
Li1 0.3333 0.6667 0.0000 1
Li2 0.3333 0.6667 0.5000 1
Li3 0.6667 0.3333 0.0000 1
Li4 0.6667 0.3333 0.5000 1
Ac1 0.0000 0.2987 0.2500 1
Ac2 0.0000 0.7013 0.7500 1
Ac3 0.2987 0.0000 0.2500 1
Ac4 0.2987 0.2987 0.7500 1
Ac5 0.7013 0.0000 0.7500 1
Ac6 0.7013 0.7013 0.2500 1
Pt1 0.0000 0.3689 0.7500 1
Pt2 0.0000 0.6311 0.2500 1
Pt3 0.3689 0.0000 0.7500 1
Pt4 0.3689 0.3689 0.2500 1
Pt5 0.6311 0.0000 0.2500 1
Pt6 0.6311 0.6311 0.7500 1
```

*B*
A relaxed structure of Li2Ac3Pt3, computed with PBE-GGA.

Computed properties:
DOS at the Fermi energy	4.228	states/eV/f.u.

Structure (CIF):
```
data_Li2Ac3Pt3
_cell_length_a 6.7568
_cell_length_b 6.7568
_cell_length_c 14.9325
_cell_angle_alpha 90.00
_cell_angle_beta 90.00
_cell_angle_gamma 143.77
_symmetry_space_group_name_H-M 'P 1'
_symmetry_Int_Tables_number 1
loop_
_symmetry_equiv_pos_as_xyz
'x,y,z'
loop_
_atom_site_label
_atom_site_fract_x
_atom_site_fract_y
_atom_site_fract_z
_atom_site_occupancy
Li1 0.2267 0.7733 0.5694 1
Li2 0.2267 0.7733 0.9306 1
Li3 0.7733 0.2267 0.0694 1
Li4 0.7733 0.2267 0.4306 1
Ac1 0.0701 0.9299 0.1108 1
Ac2 0.0701 0.9299 0.3892 1
Ac3 0.3425 0.6575 0.2500 1
Ac4 0.6575 0.3425 0.7500 1
Ac5 0.9299 0.0701 0.6108 1
Ac6 0.9299 0.0701 0.8892 1
Pt1 0.3363 0.6637 0.7500 1
Pt2 0.3975 0.6025 0.0477 1
Pt3 0.3975 0.6025 0.4523 1
Pt4 0.6025 0.3975 0.5477 1
Pt5 0.6025 0.3975 0.9523 1
Pt6 0.6637 0.3363 0.2500 1
```

Ranking the structures above from most stable to least stable yields *B*, *A*.